[1]
{"formula": "YZnCl2", "functional": "PBE", "state": "optimized geometry", "cell": [[3.378, 0.000, 0.000], [0.000, 3.378, 0.000], [0.000, 0.000, 9.596]], "species": ["Y", "Zn", "Cl", "Cl"], "fractional_positions": [[0.000, 0.000, 0.000], [0.000, 0.000, 0.500], [0.500, 0.500, 0.165], [0.500, 0.500, 0.835]], "dos_at_fermi_per_ev_fu": 2.28, "raw_formation_energy_ev_per_atom": -1.19, "de_polymorph_kj_per_mol_fu": 10, "sg": "No. 123"}

---

[2]
{"formula": "Nd2YCu2Ge2", "functional": "PBE", "state": "optimized geometry", "cell": [[2.125, 1.227, 10.429], [-2.125, 1.227, 10.429], [0.000, -2.453, 10.429]], "species": ["Nd", "Nd", "Y", "Cu", "Cu", "Ge", "Ge"], "fractional_positions": [[0.120, 0.120, 0.120], [0.880, 0.880, 0.880], [0.000, 0.000, 0.000], [0.390, 0.390, 0.390], [0.610, 0.610, 0.610], [0.273, 0.273, 0.273], [0.727, 0.727, 0.727]], "dos_at_fermi_per_ev_fu": 5.42, "ef_ev_per_fu": -3.6, "sg": "No. 166"}